SrPdPt2: relaxed, GGA-PBE.

Calculated values
- space-group type = R-3m, No. 166
- E_tot (eV/f.u.) = -21.7

POSCAR file:
```
SrPdPt2
1.0
-8.372 -3.207 -3.402
-6.341 -7.190 -0.224
-8.906 -2.907 2.049
Pt Sr Pd
6 3 3
direct
0.918 0.416 0.416
0.416 0.416 0.918
0.584 0.584 0.082
0.416 0.918 0.416
0.082 0.584 0.584
0.584 0.082 0.584
0.859 0.859 0.859
0.141 0.141 0.141
0.000 0.000 0.000
0.332 0.332 0.332
0.500 0.500 0.500
0.668 0.668 0.668
```